# 1
The following is a GGA-PBE calculation of a geometry-optimized BeTlI2 structure, from the Alexandria database.

Cell: 8.046 8.046 8.046 Å, 90.00 90.00 90.00°
Space group Fm-3m (No. 225)
Inequivalent atoms, fractional coordinates:
1 Be 0.000 0.000 0.000 (multiplicity 4)
2 Tl 0.000 0.000 0.500 (multiplicity 4)
3 I 0.250 0.250 0.250 (multiplicity 8)

Values from the calculation:
- ΔE_f (raw) (eV per formula unit) = 1.48



# 2
The following is a GGA-PBE calculation of a geometry-optimized BaLaHg2 structure, from the Alexandria database.

Cell: 4.786 4.786 11.340 Å, 90.00 90.00 90.00°
Space group I-4m2 (No. 119)
Inequivalent atoms, fractional coordinates:
1 Ba 0.000 0.000 0.000 (multiplicity 2)
2 La 0.000 0.500 0.250 (multiplicity 2)
3 Hg 0.000 0.000 0.500 (multiplicity 2)
4 Hg 0.000 0.500 0.750 (multiplicity 2)

Values from the calculation:
- ΔE_f (eV/atom) = -0.287



# 3
The following is a GGA-PBE calculation of a geometry-optimized Cs3GaCu structure, from the Alexandria database.

Cell: 6.798 6.798 6.798 Å, 90.00 90.00 90.00°
Space group Pm-3m (No. 221)
Inequivalent atoms, fractional coordinates:
1 Cs 0.000 0.000 0.500 (multiplicity 3)
2 Ga 0.500 0.500 0.500 (multiplicity 1)
3 Cu 0.000 0.000 0.000 (multiplicity 1)

Values from the calculation:
- ΔE_f (eV/atom) = 0.421



# 4
The following is a GGA-PBE calculation of a geometry-optimized MgZnSe2 structure, from the Alexandria database.

Cell: 7.338 7.258 4.656 Å, 90.00 113.82 90.00°
Space group C2/m (No. 12)
Inequivalent atoms, fractional coordinates:
1 Mg 0.000 0.000 0.000 (multiplicity 2)
2 Zn 0.000 0.500 0.000 (multiplicity 2)
3 Se 0.250 0.250 0.000 (multiplicity 4)

Values from the calculation:
- ΔE_f (raw) (eV per formula unit) = -2.07



# 5
The following is a GGA-PBE calculation of a geometry-optimized SrHfV2 structure, from the Alexandria database.

Cell: 7.106 7.106 7.106 Å, 90.00 90.00 90.00°
Space group Fm-3m (No. 225)
Inequivalent atoms, fractional coordinates:
1 Sr 0.000 0.000 0.000 (multiplicity 4)
2 Hf 0.000 0.000 0.500 (multiplicity 4)
3 V 0.250 0.250 0.250 (multiplicity 8)

Values from the calculation:
- ΔE_f (eV/atom) = 0.888



# 6
The following is a GGA-PBE calculation of a geometry-optimized VCd2Hg structure, from the Alexandria database.

Cell: 2.9489 2.9489 35.3936 Å, 90.00 90.00 120.00°
Space group R-3m (No. 166, hexagonal axes)
Inequivalent atoms, fractional coordinates:
1 V 0.0000 0.0000 0.0000 (multiplicity 3)
2 Cd 0.0000 0.0000 0.0813 (multiplicity 6)
3 Hg 0.0000 0.0000 0.5000 (multiplicity 3)

Values from the calculation:
- ΔE_f (eV/atom) = 0.543



# 7
The following is a GGA-PBE calculation of a geometry-optimized AcAlHIr2 structure, from the Alexandria database.

Cell: 4.154 11.559 7.067 Å, 90.00 90.00 90.00°
Space group Cmcm (No. 63)
Inequivalent atoms, fractional coordinates:
1 Ac 0.000 0.068 0.250 (multiplicity 4)
2 Al 0.000 0.211 0.750 (multiplicity 4)
3 H 0.000 0.500 0.000 (multiplicity 4)
4 Ir 0.000 0.339 0.050 (multiplicity 8)

Values from the calculation:
- DFT total energy (eV per atom) = -6.33



# 8
The following is a GGA-PBE calculation of a geometry-optimized Ba3In2Sn2 structure, from the Alexandria database.

Cell: 12.931 5.199 8.752 Å, 90.00 112.76 90.00°
Space group C2/m (No. 12)
Inequivalent atoms, fractional coordinates:
1 Ba 0.000 0.000 0.000 (multiplicity 2)
2 Ba 0.175 0.000 0.621 (multiplicity 4)
3 In 0.199 0.500 0.926 (multiplicity 4)
4 Sn 0.024 0.500 0.340 (multiplicity 4)

Values from the calculation:
- ΔE_f (eV/atom) = -0.544



# 9
The following is a GGA-PBE calculation of a geometry-optimized Mg2NbSn structure, from the Alexandria database.

Cell: 3.1369 3.1369 31.5272 Å, 90.00 90.00 120.00°
Space group R-3m (No. 166, hexagonal axes)
Inequivalent atoms, fractional coordinates:
1 Mg 0.0000 0.0000 0.0888 (multiplicity 6)
2 Nb 0.0000 0.0000 0.0000 (multiplicity 3)
3 Sn 0.0000 0.0000 0.5000 (multiplicity 3)

Values from the calculation:
- ΔE_f (eV/atom) = 0.455



# 10
The following is a GGA-PBE calculation of a geometry-optimized TbSmPt10 structure, from the Alexandria database.

Cell: 4.454 5.392 9.287 Å, 90.00 90.00 90.00°
Space group Pmmm (No. 47)
Inequivalent atoms, fractional coordinates:
1 Tb 0.000 0.000 0.000 (multiplicity 1)
2 Sm 0.000 0.500 0.500 (multiplicity 1)
3 Pt 0.000 0.000 0.331 (multiplicity 2)
4 Pt 0.000 0.500 0.165 (multiplicity 2)
5 Pt 0.500 0.000 0.500 (multiplicity 1)
6 Pt 0.500 0.250 0.249 (multiplicity 4)
7 Pt 0.500 0.500 0.000 (multiplicity 1)

Values from the calculation:
- ΔE_f (eV/atom) = -0.703



# 11
The following is a GGA-PBE calculation of a geometry-optimized KLiSb2 structure, from the Alexandria database.

Cell: 4.692 4.692 10.081 Å, 90.00 90.00 90.00°
Space group I4/mmm (No. 139)
Inequivalent atoms, fractional coordinates:
1 K 0.000 0.000 0.000 (multiplicity 2)
2 Li 0.000 0.000 0.500 (multiplicity 2)
3 Sb 0.000 0.500 0.250 (multiplicity 4)

Values from the calculation:
- ΔE_f (raw) (eV per formula unit) = -0.95



# 12
The following is a GGA-PBE calculation of a geometry-optimized SrMg2Se2 structure, from the Alexandria database.

Cell: 4.168 4.168 14.466 Å, 90.00 90.00 90.00°
Space group I4/mmm (No. 139)
Inequivalent atoms, fractional coordinates:
1 Sr 0.000 0.000 0.000 (multiplicity 2)
2 Mg 0.000 0.500 0.250 (multiplicity 4)
3 Se 0.000 0.000 0.387 (multiplicity 4)

Values from the calculation:
- ΔE_f (raw) (eV per formula unit) = -4.28